(P)
A relaxed structure of Rb3AsPb, computed with GGA-PBE.

For the theoretical density, the calculation gives 3.6 g/cm3.

It has space group C2/m (No. 12), with a = 12.865 Å, b = 11.235 Å, c = 9.181 Å, α = 90.00°, β = 131.89° and γ = 90.00°. Symmetry generates all atoms from Rb at (0.058, 0.000, 0.353), Rb at (0.233, 0.306, 0.778), As at (0.206, 0.500, 0.121) and Pb at (0.059, 0.500, 0.255).



(Q)
A relaxed structure of Rb3AsPb, computed with GGA-PBE.

For the theoretical density, the calculation gives 3.0 g/cm3.

It has space group Pm-3m (No. 221), with a = 6.667 Å, b = 6.667 Å, c = 6.667 Å, α = 90.00°, β = 90.00° and γ = 90.00°. Symmetry generates all atoms from Rb at (0.000, 0.000, 0.500), As at (0.000, 0.000, 0.000) and Pb at (0.500, 0.500, 0.500).



Short version: (Q) is the least stable of them.



(P)
A relaxed structure of RbAsPb3, computed with GGA-PBE.

For the theoretical density, the calculation gives 5.8 g/cm3.

It has space group Pm-3m (No. 221), with a = 6.082 Å, b = 6.082 Å, c = 6.082 Å, α = 90.00°, β = 90.00° and γ = 90.00°. Symmetry generates all atoms from Rb at (0.000, 0.000, 0.000), As at (0.500, 0.500, 0.500) and Pb at (0.000, 0.000, 0.500).



(Q)
A relaxed structure of RbAsPb3, computed with GGA-PBE.

For the theoretical density, the calculation gives 6.6 g/cm3.

It has space group Pm-3m (No. 221), with a = 5.803 Å, b = 5.803 Å, c = 5.803 Å, α = 90.00°, β = 90.00° and γ = 90.00°. Symmetry generates all atoms from Rb at (0.000, 0.000, 0.000), As at (0.500, 0.500, 0.500) and Pb at (0.000, 0.500, 0.500).



Short version: (P) is the least stable of them.



(P)
A relaxed structure of RbAs3Pb, computed with GGA-PBE.

For the theoretical density, the calculation gives 5.0 g/cm3.

It has space group Pm-3m (No. 221), with a = 5.553 Å, b = 5.553 Å, c = 5.553 Å, α = 90.00°, β = 90.00° and γ = 90.00°. Symmetry generates all atoms from Rb at (0.000, 0.000, 0.000), As at (0.000, 0.000, 0.500) and Pb at (0.500, 0.500, 0.500).



(Q)
A relaxed structure of RbAs3Pb, computed with GGA-PBE.

For the theoretical density, the calculation gives 5.0 g/cm3.

It has space group Pm-3m (No. 221), with a = 5.571 Å, b = 5.571 Å, c = 5.571 Å, α = 90.00°, β = 90.00° and γ = 90.00°. Symmetry generates all atoms from Rb at (0.000, 0.000, 0.000), As at (0.000, 0.500, 0.500) and Pb at (0.500, 0.500, 0.500).



Short version: (P) is the least stable of them.



(P)
A relaxed structure of RbAsPbSe2, computed with GGA-PBE.

For the theoretical density, the calculation gives 4.9 g/cm3.

It has space group P4/mmm (No. 123), with a = 5.684 Å, b = 5.684 Å, c = 5.534 Å, α = 90.00°, β = 90.00° and γ = 90.00°. Symmetry generates all atoms from Rb at (0.000, 0.000, 0.000), As at (0.500, 0.500, 0.000), Pb at (0.500, 0.500, 0.500) and Se at (0.000, 0.500, 0.500).



(Q)
A relaxed structure of RbAsPbSe2, computed with GGA-PBE.

For the theoretical density, the calculation gives 4.8 g/cm3.

It has space group P4/mmm (No. 123), with a = 5.759 Å, b = 5.759 Å, c = 5.512 Å, α = 90.00°, β = 90.00° and γ = 90.00°. Symmetry generates all atoms from Rb at (0.000, 0.000, 0.000), As at (0.000, 0.000, 0.500), Pb at (0.500, 0.500, 0.500) and Se at (0.000, 0.500, 0.000).



Short version: (Q) is the least stable of them.



(P)
A relaxed structure of Re2AsPb, computed with GGA-PBE.

For the theoretical density, the calculation gives 15.0 g/cm3.

It has space group Cmmm (No. 65), with a = 3.158 Å, b = 5.276 Å, c = 8.679 Å, α = 90.00°, β = 90.00° and γ = 90.00°. Symmetry generates all atoms from Re at (0.000, 0.000, 0.218), As at (0.000, 0.500, 0.000) and Pb at (0.000, 0.500, 0.500).



(Q)
A relaxed structure of Re2AsPb, computed with GGA-PBE.

For the theoretical density, the calculation gives 16.0 g/cm3.

It has space group Fm-3m (No. 225), with a = 6.473 Å, b = 6.473 Å, c = 6.473 Å, α = 90.00°, β = 90.00° and γ = 90.00°. Symmetry generates all atoms from Re at (0.250, 0.250, 0.250), As at (0.000, 0.000, 0.000) and Pb at (0.000, 0.000, 0.500).



Short version: (P) is the least stable of them.



(P)
A relaxed structure of ReAs2PbSe, computed with GGA-PBE.

For the theoretical density, the calculation gives 8.1 g/cm3.

It has space group P4/mmm (No. 123), with a = 4.710 Å, b = 4.710 Å, c = 5.733 Å, α = 90.00°, β = 90.00° and γ = 90.00°. Symmetry generates all atoms from Re at (0.000, 0.000, 0.000), As at (0.000, 0.500, 0.000), Pb at (0.500, 0.500, 0.500) and Se at (0.000, 0.000, 0.500).



(Q)
A relaxed structure of ReAs2PbSe, computed with GGA-PBE.

For the theoretical density, the calculation gives 6.7 g/cm3.

It has space group P4/mmm (No. 123), with a = 5.375 Å, b = 5.375 Å, c = 5.332 Å, α = 90.00°, β = 90.00° and γ = 90.00°. Symmetry generates all atoms from Re at (0.000, 0.000, 0.000), As at (0.000, 0.500, 0.500), Pb at (0.500, 0.500, 0.500) and Se at (0.500, 0.500, 0.000).



Short version: (Q) is the least stable of them.



(P)
A relaxed structure of AsRhPb, computed with GGA-PBE.

For the theoretical density, the calculation gives 9.9 g/cm3.

It has space group F-43m (No. 216), with a = 6.374 Å, b = 6.374 Å, c = 6.374 Å, α = 90.00°, β = 90.00° and γ = 90.00°. Symmetry generates all atoms from As at (0.000, 0.000, 0.000), Rh at (0.250, 0.250, 0.750) and Pb at (0.000, 0.000, 0.500).



(Q)
A relaxed structure of AsRhPb, computed with GGA-PBE.

For the theoretical density, the calculation gives 9.5 g/cm3.

It has space group P-1 (No. 2), with a = 4.493 Å, b = 4.493 Å, c = 6.744 Å, α = 91.34°, β = 91.46° and γ = 99.09°. Symmetry generates all atoms from As at (0.213, 0.212, 0.161), Rh at (0.288, 0.712, 0.000) and Pb at (0.260, 0.261, 0.670).



(R)
A relaxed structure of AsRhPb, computed with GGA-PBE.

For the theoretical density, the calculation gives 9.8 g/cm3.

It has space group P2_13 (No. 198), with a = 6.387 Å, b = 6.387 Å, c = 6.387 Å, α = 90.00°, β = 90.00° and γ = 90.00°. Symmetry generates all atoms from As at (0.133, 0.133, 0.133), Rh at (0.045, 0.955, 0.455) and Pb at (0.145, 0.355, 0.645).



(S)
A relaxed structure of AsRhPb, computed with GGA-PBE.

For the theoretical density, the calculation gives 10.0 g/cm3.

It has space group I4mm (No. 107), with a = 3.196 Å, b = 3.196 Å, c = 12.564 Å, α = 90.00°, β = 90.00° and γ = 90.00°. Symmetry generates all atoms from As at (0.000, 0.000, 0.000), Rh at (0.000, 0.000, 0.592) and Pb at (0.000, 0.000, 0.264).



Short version: (P) is the least stable of them.



(P)
A relaxed structure of AsRhPb, computed with GGA-PBE.

For the theoretical density, the calculation gives 9.8 g/cm3.

It has space group P3m1 (No. 156), with a = 3.5610 Å, b = 3.5610 Å, c = 5.9490 Å, α = 90.00°, β = 90.00° and γ = 120.00°. Symmetry generates all atoms from As at (0.0000, 0.0000, 0.0000), Rh at (0.6667, 0.3333, 0.7905) and Pb at (0.3333, 0.6667, 0.4320).



(Q)
A relaxed structure of AsRhPb, computed with GGA-PBE.

For the theoretical density, the calculation gives 9.4 g/cm3.

It has space group P3m1 (No. 156), with a = 4.1678 Å, b = 4.1678 Å, c = 4.5376 Å, α = 90.00°, β = 90.00° and γ = 120.00°. Symmetry generates all atoms from As at (0.0000, 0.0000, 0.0000), Rh at (0.3333, 0.6667, 0.9987) and Pb at (0.6667, 0.3333, 0.4999).



Short version: (Q) is the least stable of them.



(P)
A relaxed structure of AsRuPb, computed with GGA-PBE.

For the theoretical density, the calculation gives 10.3 g/cm3.

It has space group P3m1 (No. 156), with a = 3.3837 Å, b = 3.3837 Å, c = 6.2435 Å, α = 90.00°, β = 90.00° and γ = 120.00°. Symmetry generates all atoms from As at (0.0000, 0.0000, 0.0000), Ru at (0.3333, 0.6667, 0.7660) and Pb at (0.6667, 0.3333, 0.4169).



(Q)
A relaxed structure of AsRuPb, computed with GGA-PBE.

For the theoretical density, the calculation gives 9.6 g/cm3.

It has space group P4/nmm (No. 129, origin choice 2), with a = 4.261 Å, b = 4.261 Å, c = 7.282 Å, α = 90.00°, β = 90.00° and γ = 90.00°. Symmetry generates all atoms from As at (0.250, 0.250, 0.178), Ru at (0.250, 0.750, 0.000) and Pb at (0.250, 0.250, 0.679).



(R)
A relaxed structure of AsRuPb, computed with GGA-PBE.

For the theoretical density, the calculation gives 10.1 g/cm3.

It has space group I4mm (No. 107), with a = 3.121 Å, b = 3.121 Å, c = 12.899 Å, α = 90.00°, β = 90.00° and γ = 90.00°. Symmetry generates all atoms from As at (0.000, 0.000, 0.000), Ru at (0.000, 0.000, 0.404) and Pb at (0.000, 0.000, 0.735).



Short version: (P) is the least stable of them.



(P)
A relaxed structure of AsRuPb, computed with GGA-PBE.

For the theoretical density, the calculation gives 10.0 g/cm3.

It has space group F-43m (No. 216), with a = 6.342 Å, b = 6.342 Å, c = 6.342 Å, α = 90.00°, β = 90.00° and γ = 90.00°. Symmetry generates all atoms from As at (0.000, 0.000, 0.000), Ru at (0.250, 0.250, 0.250) and Pb at (0.000, 0.000, 0.500).



(Q)
A relaxed structure of AsRuPb, computed with GGA-PBE.

For the theoretical density, the calculation gives 9.3 g/cm3.

It has space group P-6m2 (No. 187), with a = 4.1372 Å, b = 4.1372 Å, c = 4.6204 Å, α = 90.00°, β = 90.00° and γ = 120.00°. Symmetry generates all atoms from As at (0.0000, 0.0000, 0.0000), Ru at (0.3333, 0.6667, 0.0000) and Pb at (0.6667, 0.3333, 0.5000).



Short version: (P) is the least stable of them.



(P)
A relaxed structure of As2Ru2Pb, computed with GGA-PBE.

For the theoretical density, the calculation gives 9.8 g/cm3.

It has space group I4/mmm (No. 139), with a = 3.975 Å, b = 3.975 Å, c = 12.005 Å, α = 90.00°, β = 90.00° and γ = 90.00°. Symmetry generates all atoms from As at (0.000, 0.500, 0.250), Ru at (0.000, 0.000, 0.128) and Pb at (0.000, 0.000, 0.500).



(Q)
A relaxed structure of As2Ru2Pb, computed with GGA-PBE.

For the theoretical density, the calculation gives 9.8 g/cm3.

It has space group I4/mmm (No. 139), with a = 4.316 Å, b = 4.316 Å, c = 10.142 Å, α = 90.00°, β = 90.00° and γ = 90.00°. Symmetry generates all atoms from As at (0.000, 0.000, 0.134), Ru at (0.000, 0.500, 0.250) and Pb at (0.000, 0.000, 0.500).



Short version: (P) is the least stable of them.



(P)
A relaxed structure of AsRu3Pb, computed with GGA-PBE.

For the theoretical density, the calculation gives 10.2 g/cm3.

It has space group Pm-3m (No. 221), with a = 4.571 Å, b = 4.571 Å, c = 4.571 Å, α = 90.00°, β = 90.00° and γ = 90.00°. Symmetry generates all atoms from As at (0.000, 0.000, 0.000), Ru at (0.000, 0.000, 0.500) and Pb at (0.500, 0.500, 0.500).



(Q)
A relaxed structure of AsRu3Pb, computed with GGA-PBE.

For the theoretical density, the calculation gives 7.8 g/cm3.

It has space group Pm-3m (No. 221), with a = 4.985 Å, b = 4.985 Å, c = 4.985 Å, α = 90.00°, β = 90.00° and γ = 90.00°. Symmetry generates all atoms from As at (0.000, 0.000, 0.000), Ru at (0.000, 0.500, 0.500) and Pb at (0.500, 0.500, 0.500).



Short version: (Q) is the least stable of them.